5
Lattice="5.228 0.000 0.000 0.000 5.228 0.000 0.000 0.000 5.383" Properties=species:S:1:pos:R:3 comment="YScAl2I | Alexandria | PBE | optimized geometry" n_ef_per_ev_cell=4.00 final_energy_ev_per_atom=-4.0113 mass_density_g_cm3=3.55 spacegroup="P4/mmm, No. 123" e_form_raw_ev_per_atom=0.35 pbc="T T T"
Y 0.000 0.000 0.000
Sc 2.614 2.614 2.691
Al 0.000 2.614 2.691
Al 2.614 0.000 2.691
I 2.614 2.614 0.000